# 1
Material: CuNi4H4
Method: DFT, GGA-PBE
State: relaxed

a = 3.6331 Å, b = 4.5738 Å, c = 4.5700 Å
α = 80.99°, β = 66.58°, γ = 66.60°
Closest atoms and distances in Å follow each position.
Fractional coordinates of all 9 atoms:
1 H 0.3205 0.7983 0.5607  5 Ni 1.75-1.94
2 Ni 0.1989 0.1965 0.4057  5 H 1.75-1.93
3 Cu 0.0000 0.0000 0.0000  4 H 2.03
4 H 0.6795 0.2017 0.4393  5 Ni 1.75-1.94
5 H 0.1182 0.5609 0.2027  5 Ni 1.75-1.93
6 Ni 0.6046 0.5944 0.1964  5 H 1.75-1.94
7 Ni 0.3954 0.4056 0.8036  5 H 1.75-1.94
8 Ni 0.8011 0.8035 0.5943  5 H 1.75-1.93
9 H 0.8818 0.4391 0.7973  5 Ni 1.75-1.93

Symmetry: No. 12

# 2
Material: CaPN2O
Method: DFT, GGA-PBE
State: relaxed

a = 4.5992 Å, b = 4.5992 Å, c = 4.3420 Å
α = 90.00°, β = 90.00°, γ = 90.00°
Closest atoms and distances in Å follow each position.
Fractional coordinates of all 5 atoms:
1 N 0.0000 0.5000 0.0000  2 Ca 2.30
2 N 0.5000 0.0000 0.0000  2 Ca 2.30
3 P 0.5000 0.5000 0.5000  8 N 3.16, 4 O 3.25
4 Ca 0.0000 0.0000 0.0000  2 O 2.17, 4 N 2.30
5 O 0.0000 0.0000 0.5000  2 Ca 2.17

E_form (uncorrected) (eV/atom): 1.611
Symmetry: No. 123

# 3
Material: FeTcAg2
Method: DFT, GGA-PBE
State: relaxed

a = 4.7459 Å, b = 4.7459 Å, c = 5.1840 Å
α = 83.54°, β = 83.54°, γ = 32.40°
Closest atoms and distances in Å follow each position.
Fractional coordinates of all 4 atoms:
1 Tc 0.2484 0.2484 0.2739  3 Fe 2.63-2.73, 2 Tc 2.65, 5 Ag 2.82-2.88
2 Ag 0.9993 0.9993 0.9970  5 Ag 2.65-2.83, 2 Fe 2.81, 3 Tc 2.82-2.88
3 Fe 0.4997 0.4997 0.4756  3 Tc 2.63-2.73, 2 Fe 2.65, 5 Ag 2.81-2.86
4 Ag 0.7526 0.7526 0.7535  5 Ag 2.65-2.83, 2 Tc 2.82, 3 Fe 2.85-2.86

Symmetry: No. 8
Energy of formation from the pure elements (eV per formula unit): 2.015
Energy relative to the lowest polymorph listed for this composition (eV/atom): 0.2036

# 4
Material: Hf2CdPt2
Method: DFT, GGA-PBE
State: relaxed

a = 4.5767 Å, b = 4.5767 Å, c = 6.1617 Å
α = 68.20°, β = 68.20°, γ = 90.00°
Closest atoms and distances in Å follow each position.
Fractional coordinates of all 5 atoms:
1 Cd 0.0000 0.0000 0.0000  8 Hf 3.48, 8 Pt 3.48
2 Hf 0.2500 0.7500 0.5000  4 Pt 2.65
3 Hf 0.7500 0.2500 0.5000  4 Pt 2.65
4 Pt 0.6226 0.6226 0.7548  1 Pt 2.57, 4 Hf 2.65
5 Pt 0.3774 0.3774 0.2452  1 Pt 2.57, 4 Hf 2.65

Symmetry: No. 139
Energy of formation from the pure elements (eV per formula unit): -3.413

# 5
Material: NdAl3NiPt
Method: DFT, GGA-PBE
State: relaxed

a = 5.9268 Å, b = 6.2962 Å, c = 6.7343 Å
α = 117.87°, β = 90.00°, γ = 90.00°
Closest atoms and distances in Å follow each position.
Fractional coordinates of all 12 atoms:
1 Al 0.5000 0.2880 0.0000  2 Ni 2.40, 2 Pt 2.60, 1 Al 2.67
2 Al 0.2500 0.1505 0.3011  1 Ni 2.32, 1 Pt 2.49
3 Ni 0.7500 0.0443 0.0886  5 Al 2.32-2.40
4 Ni 0.2500 0.9557 0.9114  5 Al 2.32-2.40
5 Al 0.5000 0.7120 0.0000  2 Ni 2.40, 2 Pt 2.60, 1 Al 2.67
6 Pt 0.2500 0.3595 0.7189  5 Al 2.49-2.60
7 Nd 0.7500 0.2665 0.5329  1 Ni 2.65
8 Nd 0.2500 0.7335 0.4671  1 Ni 2.65
9 Al 0.0000 0.2880 0.0000  2 Ni 2.40, 2 Pt 2.60, 1 Al 2.67
10 Pt 0.7500 0.6405 0.2811  5 Al 2.49-2.60
11 Al 0.7500 0.8495 0.6989  1 Ni 2.32, 1 Pt 2.49
12 Al 0.0000 0.7120 0.0000  2 Ni 2.40, 2 Pt 2.60, 1 Al 2.67

Symmetry: No. 63
Energy of formation from the pure elements (eV per formula unit): -3.770

# 6
Material: Pm7Ru2Rh2
Method: DFT, GGA-PBE
State: relaxed

a = 4.1507 Å, b = 8.9885 Å, c = 8.9885 Å
α = 62.07°, β = 76.65°, γ = 76.65°
Closest atoms and distances in Å follow each position.
Fractional coordinates of all 11 atoms:
1 Pm 0.5000 0.0076 0.9924  3 Rh 2.90-3.08
2 Ru 0.2641 0.3239 0.1479  7 Pm 2.86-3.11
3 Ru 0.7359 0.8521 0.6761  7 Pm 2.86-3.11
4 Pm 0.1858 0.7057 0.9226  3 Ru 2.86-3.04, 1 Rh 2.92
5 Rh 0.0000 0.7884 0.2116  8 Pm 2.90-3.18
6 Pm 0.3848 0.7201 0.5103  3 Rh 3.00-3.18, 2 Ru 3.03
7 Pm 0.8676 0.4072 0.8577  2 Rh 2.92, 2 Ru 3.11
8 Pm 0.6152 0.4897 0.2799  3 Rh 3.00-3.18, 2 Ru 3.03
9 Rh 0.5000 0.3394 0.6606  7 Pm 2.92-3.08
10 Pm 0.8142 0.0774 0.2943  3 Ru 2.86-3.04, 1 Rh 2.92
11 Pm 0.1324 0.1423 0.5928  2 Rh 2.92, 2 Ru 3.11

Symmetry: No. 44
Energy of formation from the pure elements (eV per formula unit): -4.342
Energy relative to the lowest polymorph listed for this composition (eV/atom): 0.0000

# 7
Material: PmAl4NiPt2
Method: DFT, GGA-PBE
State: relaxed

a = 4.2368 Å, b = 4.2368 Å, c = 9.1718 Å
α = 76.65°, β = 76.65°, γ = 60.00°
Closest atoms and distances in Å follow each position.
Fractional coordinates of all 8 atoms:
1 Al 0.1357 0.1357 0.5930  3 Ni 2.58, 4 Pt 2.62-2.63
2 Pt 0.2345 0.2345 0.2966  7 Al 2.54-2.63
3 Ni 0.5000 0.5000 0.5000  8 Al 2.49-2.58
4 Al 0.4062 0.4062 0.7813  1 Ni 2.49, 3 Pt 2.54
5 Pt 0.7655 0.7655 0.7034  7 Al 2.54-2.63
6 Al 0.5938 0.5938 0.2187  1 Ni 2.49, 3 Pt 2.54
7 Al 0.8643 0.8643 0.4070  3 Ni 2.58, 4 Pt 2.62-2.63
8 Pm 0.0000 0.0000 0.0000  6 Al 3.12

Symmetry: No. 166
Energy of formation from the pure elements (eV per formula unit): -6.834

# 8
Material: BaPr2Au
Method: DFT, GGA-PBE
State: relaxed

a = 4.8447 Å, b = 4.8447 Å, c = 8.3044 Å
α = 73.04°, β = 73.04°, γ = 60.00°
Closest atoms and distances in Å follow each position.
Fractional coordinates of all 4 atoms:
1 Ba 0.4983 0.4983 0.5052  6 Pr 3.87-3.92, 1 Au 3.99
2 Pr 0.0510 0.0510 0.8469  3 Au 3.03
3 Pr 0.2822 0.2822 0.1535  3 Au 3.06
4 Au 0.6685 0.6685 0.9944  6 Pr 3.03-3.06

Symmetry: No. 160
Energy of formation from the pure elements (eV per formula unit): -0.783
Energy relative to the lowest polymorph listed for this composition (eV/atom): 0.0663

# 9
Material: SiPN2F
Method: DFT, GGA-PBE
State: relaxed

a = 3.5848 Å, b = 3.5848 Å, c = 3.8273 Å
α = 90.00°, β = 90.00°, γ = 90.00°
Closest atoms and distances in Å follow each position.
Fractional coordinates of all 5 atoms:
1 F 0.0000 0.0000 0.5000  2 P 1.91
2 N 0.5000 0.0000 0.0000  2 P 1.79
3 Si 0.5000 0.5000 0.5000  4 F 2.53, 8 N 2.62
4 N 0.0000 0.5000 0.0000  2 P 1.79
5 P 0.0000 0.0000 0.0000  4 N 1.79, 2 F 1.91

E_form (uncorrected) (eV/atom): 0.443
Symmetry: No. 123
Energy relative to the lowest polymorph listed for this composition (eV/atom): 0.3714

# 10
Material: Ba3BrO2
Method: DFT, GGA-PBE
State: relaxed

a = 4.3731 Å, b = 7.7639 Å, c = 12.5684 Å
α = 83.93°, β = 90.00°, γ = 90.00°
Closest atoms and distances in Å follow each position.
Fractional coordinates of all 12 atoms:
1 Ba 0.7500 0.7548 0.2269  2 O 2.51
2 O 0.7500 0.6238 0.4181  4 Ba 2.51-2.63
3 O 0.7500 0.5191 0.1051  4 Ba 2.51-2.60
4 Ba 0.2500 0.2452 0.7731  2 O 2.51
5 Br 0.7500 0.9301 0.6700  6 Ba 3.47-3.62
6 Ba 0.2500 0.3441 0.0931  3 O 2.59-2.60
7 O 0.2500 0.3762 0.5819  4 Ba 2.51-2.63
8 Br 0.2500 0.0699 0.3300  6 Ba 3.47-3.62
9 Ba 0.2500 0.6989 0.5191  3 O 2.55-2.63
10 Ba 0.7500 0.6559 0.9069  3 O 2.59-2.60
11 Ba 0.7500 0.3011 0.4809  3 O 2.55-2.63
12 O 0.2500 0.4809 0.8949  4 Ba 2.51-2.60

E_form (uncorrected) (eV/atom): -2.230
Symmetry: No. 11
Energy relative to the lowest polymorph listed for this composition (eV/atom): 0.0000

# 11
Material: IrPtAu2
Method: DFT, GGA-PBE
State: relaxed

a = 2.8059 Å, b = 2.8059 Å, c = 9.8570 Å
α = 90.00°, β = 90.00°, γ = 120.25°
Closest atoms and distances in Å follow each position.
Fractional coordinates of all 4 atoms:
1 Ir 0.0000 0.0000 0.5070  2 Pt 2.69, 6 Ir 2.80-2.81, 2 Au 2.82
2 Au 0.0000 0.0000 0.9949  8 Au 2.80-2.95, 2 Pt 2.88
3 Au 0.5000 0.5000 0.2580  8 Au 2.80-2.95, 2 Ir 2.82
4 Pt 0.5000 0.5000 0.7400  2 Ir 2.69, 6 Pt 2.80-2.81, 2 Au 2.88

Symmetry: No. 35
Energy of formation from the pure elements (eV per formula unit): 0.889
Energy relative to the lowest polymorph listed for this composition (eV/atom): 0.0563

| no. | final energy (eV/cell) |
| --- | --- |
| 1 | -40.91 |
| 2 | -20.97 |
| 3 | -22.52 |
| 4 | -36.32 |
| 5 | -63.18 |
| 6 | -70.85 |
| 7 | -44.42 |
| 8 | -15.54 |
| 9 | -27.14 |
| 10 | -61.47 |
| 11 | -20.57 |